Entry 1:
A plane-wave DFT calculation with PBE was carried out for an optimized crystal structure of Sm12Dy7Tl.

Properties
Its energy of formation is 0.165 eV/atom. The density of states at the Fermi level is 1.646 states/eV/atom.

a b c (Å): 12.1742 12.1742 15.4500
angles (deg): 90.00 90.00 120.00
With the nearest neighbours (Å) after each atom.
Space group R-3 (No. 148, hexagonal axes)
Symmetry-distinct sites (fractional):
Sm1 0.0299 0.4513 0.2119 [18 per cell]  5 Sm 3.27-3.58, 1 Tl 3.37, 2 Dy 3.59-3.64
Sm2 0.0568 0.5879 0.5846 [18 per cell]  4 Sm 3.22-3.47, 2 Dy 3.26-3.55
Dy1 0.0000 0.0000 0.0000 [3 per cell]  6 Sm 3.26
Dy2 0.0520 0.1861 0.3015 [18 per cell]  3 Dy 3.41-3.51, 6 Sm 3.55-3.78, 1 Tl 3.68
Tl1 0.0000 0.0000 0.5000 [3 per cell]  6 Sm 3.37, 6 Dy 3.68



Entry 2:
A plane-wave DFT calculation with PBE was carried out for an optimized crystal structure of Sm5Dy2Tl.

Properties
Its energy of formation is -0.006 eV/atom. The density of states at the Fermi level is 1.357 states/eV/atom. The energy above the lowest structure with this stoichiometry is 45 meV/atom.

a b c (Å): 3.4763 11.2502 13.0224
angles (deg): 90.00 90.00 90.00
With the nearest neighbours (Å) after each atom.
Space group Immm (No. 71)
Symmetry-distinct sites (fractional):
Sm1 0.0000 0.0000 0.0000 [2 per cell]  10 Sm 3.48-3.59, 2 Dy 3.50
Sm2 0.0000 0.2656 0.3687 [8 per cell]  3 Dy 3.26-3.63, 7 Sm 3.42-3.59
Dy1 0.0000 0.0000 0.2685 [4 per cell]  7 Sm 3.26-3.63, 2 Dy 3.48, 2 Tl 3.48
Tl1 0.0000 0.5000 0.0000 [2 per cell]  2 Tl 3.48, 4 Dy 3.48, 8 Sm 3.86